Here is CsRb2Zn after structural relaxation from Alexandria. Energies are from PBE.

abc: 5.339 5.339 12.685
angles: 77.85 77.85 60.00
Atoms (fractional coordinates):
Zn: 0.666 0.666 0.002
Rb: 0.054 0.054 0.838
Rb: 0.279 0.279 0.162
Cs: 0.501 0.501 0.498

SG: R3m (160)
final energy: -3.5 eV for the cell shown
total magnetization: 0.000 μB/atom

=====

Here is ZnInGe after structural relaxation from Alexandria. Energies are from PBE.

abc: 4.542 4.542 4.542
angles: 60.00 60.00 60.00
Atoms (fractional coordinates):
Zn: 0.250 0.250 0.250
In: 0.500 0.500 0.500
Ge: 0.000 0.000 0.000

SG: F-43m (216)
final energy: -8.1 eV for the cell shown
total magnetization: 0.000 μB/atom

=====

Here is In2GePd after structural relaxation from Alexandria. Energies are from PBE.

abc: 4.332 4.332 9.907
angles: 77.37 77.37 90.00
Atoms (fractional coordinates):
In: 0.638 0.125 0.250
In: 0.375 0.362 0.750
In: 0.875 0.888 0.750
In: 0.112 0.625 0.250
Ge: 0.500 0.500 0.000
Ge: 0.250 0.750 0.500
Pd: 0.000 0.000 0.000
Pd: 0.750 0.250 0.500

SG: I-42d (122)
final energy: -30.3 eV for the cell shown
total magnetization: 0.000 μB/atom

=====

Here is Li3IrI after structural relaxation from Alexandria. Energies are from PBE.

abc: 4.901 4.901 4.901
angles: 90.00 90.00 90.00
Atoms (fractional coordinates):
I: 0.500 0.500 0.500
Li: 0.000 0.500 0.000
Li: 0.500 0.000 0.000
Li: 0.000 0.000 0.500
Ir: 0.000 0.000 0.000

SG: Pm-3m (221)
raw formation energy: 0.1206 eV per atom
final energy: -15.5 eV for the cell shown
total magnetization: 0.200 μB/atom

=====

Here is CeFe4 after structural relaxation from Alexandria. Energies are from PBE.

abc: 4.454 4.454 4.454
angles: 90.00 90.00 90.00
Atoms (fractional coordinates):
Fe: 0.500 0.500 0.000
Fe: 0.000 0.500 0.500
Fe: 0.000 0.000 0.000
Fe: 0.500 0.000 0.500
Ce: 0.500 0.500 0.500

SG: Pm-3m (221)
final energy: -32.5 eV for the cell shown
total magnetization: 1.565 μB/atom

=====

Here is PaMn4Cu after structural relaxation from Alexandria. Energies are from PBE.

abc: 4.959 4.959 4.959
angles: 60.00 60.00 60.00
Atoms (fractional coordinates):
Mn: 0.627 0.627 0.627
Mn: 0.120 0.627 0.627
Mn: 0.627 0.120 0.627
Mn: 0.627 0.627 0.120
Cu: 0.000 0.000 0.000
Pa: 0.250 0.250 0.250

SG: F-43m (216)
final energy: -49.2 eV for the cell shown
total magnetization: 1.346 μB/atom

=====

Question: Among the records above, which one has the highest final energy?
Answer: CsRb2Zn

=====

Question: Number 5 is which compound?
Answer: CeFe4